The following is a GGA-PBE calculation of a geometry-optimized CaTl structure, from the Alexandria database.

Calculated density in g/cm³: 6.4
E_form in eV/atom: -0.283
DFT total energy in eV/atom: -2.47
Volume in Å³ per cell: 126.0
Total magnetic moment in μB per cell: 0.00
DOS at the Fermi energy in states/eV/cell: 1.77

CIF file:
```
data_CaTl
_symmetry_space_group_name_H-M 'P 1'
_symmetry_Int_Tables_number 1
_cell_length_a 3.961
_cell_length_b 5.879
_cell_length_c 5.409
_cell_angle_alpha 90.00
_cell_angle_beta 90.00
_cell_angle_gamma 90.00
loop_
_symmetry_equiv_pos_as_xyz
'x,y,z'
loop_
_atom_site_label
_atom_site_fract_x
_atom_site_fract_y
_atom_site_fract_z
Tl1 0.500 0.000 0.517
Tl2 0.000 0.500 0.316
Ca1 0.000 0.000 0.029
Ca2 0.500 0.500 0.804
```

The following is a GGA-PBE calculation of a geometry-optimized Ca3Tl structure, from the Alexandria database.

Calculated density in g/cm³: 4.0
E_form in eV/atom: -0.200
DFT total energy in eV/atom: -2.29
Volume in Å³ per cell: 267.0
Total magnetic moment in μB per cell: 0.00
DOS at the Fermi energy in states/eV/cell: 5.79

CIF file:
```
data_Ca3Tl
_symmetry_space_group_name_H-M 'P 1'
_symmetry_Int_Tables_number 1
_cell_length_a 5.683
_cell_length_b 6.474
_cell_length_c 7.257
_cell_angle_alpha 90.00
_cell_angle_beta 90.00
_cell_angle_gamma 90.00
loop_
_symmetry_equiv_pos_as_xyz
'x,y,z'
loop_
_atom_site_label
_atom_site_fract_x
_atom_site_fract_y
_atom_site_fract_z
Ca1 0.500 0.621 0.000
Ca2 0.000 0.379 0.500
Ca3 0.000 0.841 0.252
Ca4 0.000 0.841 0.748
Ca5 0.500 0.159 0.752
Ca6 0.500 0.159 0.248
Tl1 0.000 0.305 0.000
Tl2 0.500 0.695 0.500
```

The following is a GGA-PBE calculation of a geometry-optimized CaTl structure, from the Alexandria database.

Calculated density in g/cm³: 4.3
E_form in eV/atom: 0.346
DFT total energy in eV/atom: -1.84
Volume in Å³ per cell: 373.7
Total magnetic moment in μB per cell: 0.00
DOS at the Fermi energy in states/eV/cell: 6.46

CIF file:
```
data_CaTl
_symmetry_space_group_name_H-M 'P 1'
_symmetry_Int_Tables_number 1
_cell_length_a 7.203
_cell_length_b 7.203
_cell_length_c 7.203
_cell_angle_alpha 90.00
_cell_angle_beta 90.00
_cell_angle_gamma 90.00
loop_
_symmetry_equiv_pos_as_xyz
'x,y,z'
loop_
_atom_site_label
_atom_site_fract_x
_atom_site_fract_y
_atom_site_fract_z
Ca1 0.250 0.250 0.250
Ca2 0.250 0.750 0.750
Ca3 0.750 0.250 0.750
Ca4 0.750 0.750 0.250
Tl1 0.000 0.000 0.000
Tl2 0.000 0.500 0.500
Tl3 0.500 0.000 0.500
Tl4 0.500 0.500 0.000
```

The following is a GGA-PBE calculation of a geometry-optimized CaTl structure, from the Alexandria database.

Calculated density in g/cm³: 6.6
E_form in eV/atom: -0.355
DFT total energy in eV/atom: -2.54
Volume in Å³ per cell: 735.3
Total magnetic moment in μB per cell: 0.00
DOS at the Fermi energy in states/eV/cell: 17.47

CIF file:
```
data_CaTl
_symmetry_space_group_name_H-M 'P 1'
_symmetry_Int_Tables_number 1
_cell_length_a 6.753
_cell_length_b 9.694
_cell_length_c 11.233
_cell_angle_alpha 90.00
_cell_angle_beta 90.00
_cell_angle_gamma 90.00
loop_
_symmetry_equiv_pos_as_xyz
'x,y,z'
loop_
_atom_site_label
_atom_site_fract_x
_atom_site_fract_y
_atom_site_fract_z
Ca1 0.250 0.133 0.176
Ca2 0.750 0.867 0.824
Ca3 0.250 0.633 0.824
Ca4 0.750 0.367 0.176
Ca5 0.250 0.540 0.372
Ca6 0.750 0.460 0.628
Ca7 0.250 0.040 0.628
Ca8 0.750 0.960 0.372
Ca9 0.000 0.750 0.116
Ca10 0.500 0.250 0.884
Ca11 0.000 0.250 0.884
Ca12 0.500 0.750 0.116
Tl1 0.250 0.456 0.078
Tl2 0.750 0.544 0.922
Tl3 0.250 0.956 0.922
Tl4 0.750 0.044 0.078
Tl5 0.250 0.882 0.360
Tl6 0.750 0.118 0.640
Tl7 0.250 0.382 0.640
Tl8 0.750 0.618 0.360
Tl9 0.000 0.750 0.583
Tl10 0.500 0.250 0.417
Tl11 0.000 0.250 0.417
Tl12 0.500 0.750 0.583
```

The following is a GGA-PBE calculation of a geometry-optimized Ca3Tl structure, from the Alexandria database.

Calculated density in g/cm³: 3.8
E_form in eV/atom: -0.199
DFT total energy in eV/atom: -2.29
Volume in Å³ per cell: 141.2
Total magnetic moment in μB per cell: 0.68
DOS at the Fermi energy in states/eV/cell: 4.20

CIF file:
```
data_Ca3Tl
_symmetry_space_group_name_H-M 'P 1'
_symmetry_Int_Tables_number 1
_cell_length_a 6.955
_cell_length_b 6.955
_cell_length_c 6.955
_cell_angle_alpha 146.03
_cell_angle_beta 130.62
_cell_angle_gamma 61.29
loop_
_symmetry_equiv_pos_as_xyz
'x,y,z'
loop_
_atom_site_label
_atom_site_fract_x
_atom_site_fract_y
_atom_site_fract_z
Tl1 0.750 0.250 0.500
Ca1 0.962 0.962 0.000
Ca2 0.250 0.750 0.500
Ca3 0.538 0.538 0.000
```

The following is a GGA-PBE calculation of a geometry-optimized CaTl structure, from the Alexandria database.

Calculated density in g/cm³: 6.5
E_form in eV/atom: -0.311
DFT total energy in eV/atom: -2.50
Volume in Å³ per cell: 187.7
Total magnetic moment in μB per cell: 0.00
DOS at the Fermi energy in states/eV/cell: 3.36

CIF file:
```
data_CaTl
_symmetry_space_group_name_H-M 'P 1'
_symmetry_Int_Tables_number 1
_cell_length_a 7.104
_cell_length_b 7.104
_cell_length_c 6.594
_cell_angle_alpha 61.93
_cell_angle_beta 61.93
_cell_angle_gamma 40.69
loop_
_symmetry_equiv_pos_as_xyz
'x,y,z'
loop_
_atom_site_label
_atom_site_fract_x
_atom_site_fract_y
_atom_site_fract_z
Ca1 0.986 0.986 0.939
Ca2 0.306 0.306 0.412
Ca3 0.625 0.625 0.303
Tl1 0.664 0.664 0.776
Tl2 0.946 0.946 0.494
Tl3 0.306 0.306 0.908
```

Question: Among the records above, which one has the highest calculated density?
Answer: number 4